[1]
Here is a geometry-optimized TaIn2 structure from Alexandria via LeMat-Bulk. Energies are from PBE.

Values from the calculation:
Energy of formation ... 0.1922 eV per atom
Space group ... No. 140
Final energy ... -5.58 eV per atom

a = 5.878 Å, b = 5.878 Å, c = 5.878 Å
α = 104.20°, β = 104.20°, γ = 120.62°
Atoms (fractional coordinates):
1 Ta 0.250 0.250 0.000
2 Ta 0.750 0.750 0.000
3 In 0.232 0.732 0.963
4 In 0.268 0.232 0.500
5 In 0.732 0.768 0.500
6 In 0.768 0.268 0.037



[2]
Here is a geometry-optimized Ta3In structure from Alexandria via LeMat-Bulk. Energies are from PBE.

Values from the calculation:
Energy of formation ... 0.1354 eV per atom
Space group ... No. 166
Final energy ... -9.44 eV per atom

a = 5.593 Å, b = 5.593 Å, c = 5.593 Å
α = 117.12°, β = 117.12°, γ = 117.12°
Atoms (fractional coordinates):
1 Ta 0.000 0.500 0.500
2 Ta 0.500 0.000 0.500
3 Ta 0.500 0.500 0.000
4 In 0.000 0.000 0.000



[3]
Here is a geometry-optimized TaIn structure from Alexandria via LeMat-Bulk. Energies are from PBE.

Values from the calculation:
Energy of formation ... 0.7179 eV per atom
Space group ... No. 194
Final energy ... -6.58 eV per atom

a = 4.734 Å, b = 4.734 Å, c = 8.746 Å
α = 90.00°, β = 90.00°, γ = 120.00°
Atoms (fractional coordinates):
1 Ta 0.333 0.667 0.074
2 Ta 0.333 0.667 0.426
3 Ta 0.667 0.333 0.574
4 Ta 0.667 0.333 0.926
5 In 0.000 0.000 0.250
6 In 0.000 0.000 0.750
7 In 0.333 0.667 0.750
8 In 0.667 0.333 0.250



[4]
Here is a geometry-optimized TaIn3 structure from Alexandria via LeMat-Bulk. Energies are from PBE.

Values from the calculation:
Energy of formation ... 0.2391 eV per atom
Space group ... No. 44
Final energy ... -4.78 eV per atom

a = 5.963 Å, b = 5.963 Å, c = 5.963 Å
α = 149.13°, β = 63.29°, γ = 126.25°
Atoms (fractional coordinates):
1 Ta 0.000 0.000 0.000
2 In 0.059 0.321 0.738
3 In 0.476 0.976 0.500
4 In 0.584 0.321 0.262



[5]
Here is a geometry-optimized TaIn structure from Alexandria via LeMat-Bulk. Energies are from PBE.

Values from the calculation:
Energy of formation ... 0.2730 eV per atom
Space group ... No. 166
Final energy ... -7.02 eV per atom

a = 5.258 Å, b = 5.258 Å, c = 5.258 Å
α = 33.82°, β = 33.82°, γ = 33.82°
Atoms (fractional coordinates):
1 Ta 0.000 0.000 0.000
2 In 0.500 0.500 0.500



[6]
Here is a geometry-optimized Ta2In structure from Alexandria via LeMat-Bulk. Energies are from PBE.

Values from the calculation:
Energy of formation ... 0.1725 eV per atom
Space group ... No. 139
Final energy ... -8.64 eV per atom

a = 7.185 Å, b = 7.185 Å, c = 7.185 Å
α = 156.72°, β = 156.72°, γ = 33.16°
Atoms (fractional coordinates):
1 Ta 0.168 0.168 0.000
2 Ta 0.832 0.832 0.000
3 In 0.500 0.500 0.000



[7]
Here is a geometry-optimized Ta2In structure from Alexandria via LeMat-Bulk. Energies are from PBE.

Values from the calculation:
Energy of formation ... 0.8326 eV per atom
Space group ... No. 123
Final energy ... -7.98 eV per atom

a = 3.788 Å, b = 3.788 Å, c = 4.760 Å
α = 90.00°, β = 90.00°, γ = 90.00°
Atoms (fractional coordinates):
1 Ta 0.000 0.500 0.000
2 Ta 0.500 0.000 0.000
3 In 0.000 0.000 0.500



[8]
Here is a geometry-optimized Ta4In3 structure from Alexandria via LeMat-Bulk. Energies are from PBE.

Values from the calculation:
Energy of formation ... 0.1552 eV per atom
Space group ... No. 139
Final energy ... -7.79 eV per atom

a = 11.351 Å, b = 11.351 Å, c = 11.351 Å
α = 161.94°, β = 161.94°, γ = 25.65°
Atoms (fractional coordinates):
1 Ta 0.078 0.078 0.000
2 Ta 0.366 0.366 0.000
3 Ta 0.634 0.634 0.000
4 Ta 0.922 0.922 0.000
5 In 0.212 0.212 0.000
6 In 0.500 0.500 0.000
7 In 0.788 0.788 0.000



| no. | ρ (g/cm3) |
| --- | --- |
| 1 | 8.982 |
| 2 | 14.423 |
| 3 | 11.575 |
| 4 | 10.041 |
| 5 | 12.241 |
| 6 | 13.668 |
| 7 | 11.589 |
| 8 | 12.622 |